1.
! CuAg, relaxed, DFT PBE; values from VASP
&SYSTEM
  ibrav = 0, nat = 8, ntyp = 2
/
ATOMIC_SPECIES
Cu 63.55 Cu.upf
Ag 107.87 Ag.upf
CELL_PARAMETERS angstrom
8.976 -1.393 0.000
8.976 1.393 0.000
-0.421 0.000 4.821
ATOMIC_POSITIONS angstrom
Cu 2.218 0.000 1.823
Cu 4.245 0.000 3.502
Cu 13.287 0.000 1.319
Cu 15.314 0.000 2.998
Ag 0.000 0.000 0.000
Ag 6.505 0.000 0.598
Ag 8.766 0.000 2.411
Ag 11.028 0.000 4.224
! space group	C2/m
! DFT formation energy	95.8	meV per atom

***

2.
! Cu3Ag7, relaxed, DFT PBE; values from VASP
&SYSTEM
  ibrav = 0, nat = 10, ntyp = 2
/
ATOMIC_SPECIES
Cu 63.55 Cu.upf
Ag 107.87 Ag.upf
CELL_PARAMETERS angstrom
2.891 0.000 0.000
0.000 2.891 0.000
0.000 0.000 19.325
ATOMIC_POSITIONS angstrom
Cu 0.000 0.000 0.000
Cu 0.000 0.000 7.859
Cu 0.000 0.000 11.467
Ag 0.000 0.000 3.916
Ag 0.000 0.000 15.410
Ag 1.446 1.446 1.786
Ag 1.446 1.446 6.057
Ag 1.446 1.446 9.663
Ag 1.446 1.446 13.268
Ag 1.446 1.446 17.540
! space group	P4/mmm
! DFT formation energy	61.1	meV per atom
! polymorph energy (0 for the lowest one)	32	meV/atom

***

3.
! CuAg, relaxed, DFT PBE; values from VASP
&SYSTEM
  ibrav = 0, nat = 10, ntyp = 2
/
ATOMIC_SPECIES
Cu 63.55 Cu.upf
Ag 107.87 Ag.upf
CELL_PARAMETERS angstrom
1.413 0.816 21.876
-1.413 0.816 21.876
0.000 -1.631 21.876
ATOMIC_POSITIONS angstrom
Cu 0.000 0.000 0.000
Cu 0.000 0.000 5.705
Cu 0.000 0.000 25.693
Cu 0.000 0.000 31.930
Cu 0.000 0.000 45.651
Ag 0.000 0.000 12.236
Ag 0.000 0.000 19.687
Ag 0.000 0.000 39.086
Ag 0.000 0.000 51.626
Ag 0.000 0.000 58.464
! space group	R3m
! DFT formation energy	95.6	meV per atom

***

4.
! Cu4Ag5, relaxed, DFT PBE; values from VASP
&SYSTEM
  ibrav = 0, nat = 9, ntyp = 2
/
ATOMIC_SPECIES
Cu 63.55 Cu.upf
Ag 107.87 Ag.upf
CELL_PARAMETERS angstrom
0.000 6.006 5.753
1.990 0.000 5.753
1.990 6.006 0.000
ATOMIC_POSITIONS angstrom
Cu 0.000 0.000 0.000
Cu 1.990 1.948 4.016
Cu 1.990 6.006 4.024
Cu 1.990 10.065 4.016
Ag 1.990 4.015 2.159
Ag 1.990 4.054 5.798
Ag 1.990 7.998 2.159
Ag 1.990 7.959 5.798
Ag 1.990 6.006 7.878
! space group	Fmm2
! DFT formation energy	83.5	meV per atom
! polymorph energy (0 for the lowest one)	46	meV/atom